# PBE-GGA Cu2RhSe4, relaxed
# size of the total moment: 0.000 μB per cell
# E_tot: -31.0 eV/f.u.
data_Cu2RhSe4
_chemical_formula_sum 'Cu8 Rh4 Se16'
_space_group_name_H-M_alt 'I m m a'
_space_group_IT_number 74
_space_group_name_Hall '-I 2b 2'
_cell_length_a 7.2197
_cell_length_b 7.4260
_cell_length_c 10.4408
_cell_angle_alpha 90.00
_cell_angle_beta 90.00
_cell_angle_gamma 90.00
loop_
_atom_site_label
_atom_site_fract_x
_atom_site_fract_y
_atom_site_fract_z
Cu1 0.0000 0.2500 0.1331
Cu2 0.2500 0.2500 0.7500
Rh1 0.0000 0.0000 0.5000
Se1 0.0000 0.0182 0.7385
Se2 0.2313 0.2500 0.5068